CeSm4Tm7 after structural relaxation. Source: Alexandria via LeMat-Bulk, functional PBE-GGA.

## Properties
Energy: -4.40 eV/atom
Offset from the most stable computed form: 126 meV per atom
D(E_F): 22.84 states/eV/f.u.

Unit cell a=5.8054 b=11.6004 c=6.6656 alpha=83.21 beta=64.18 gamma=75.51
With the nearest neighbours (Å) after each atom.
Fractional positions:
Ce 0.0000 0.0000 0.0000  4 Tm 2.90-3.06
Sm 0.6341 0.2235 0.5084  7 Tm 3.34-3.61, 2 Sm 3.60
Sm 0.3659 0.7765 0.4916  7 Tm 3.34-3.61, 2 Sm 3.60
Sm 0.7682 0.6736 0.7901  4 Tm 3.25-3.52, 2 Sm 3.60
Sm 0.2318 0.3264 0.2099  4 Tm 3.25-3.52, 2 Sm 3.60
Tm 0.7925 0.9242 0.4908  1 Ce 3.06, 4 Tm 3.18-3.37, 4 Sm 3.32-3.36
Tm 0.2075 0.0758 0.5092  1 Ce 3.06, 4 Tm 3.18-3.37, 4 Sm 3.32-3.36
Tm 0.0672 0.6822 0.1835  4 Tm 3.26-3.54, 3 Sm 3.61-3.64
Tm 0.9328 0.3178 0.8165  4 Tm 3.26-3.54, 3 Sm 3.61-3.64
Tm 0.3667 0.4972 0.7694  4 Tm 3.23-3.54, 5 Sm 3.25-3.54
Tm 0.5000 0.0000 0.0000  2 Ce 2.90, 2 Tm 3.18
Tm 0.6333 0.5028 0.2306  4 Tm 3.23-3.54, 5 Sm 3.25-3.54

Dy5Ho4Pu after structural relaxation. Source: Alexandria via LeMat-Bulk, functional PBE-GGA.

## Properties
Energy: -5.30 eV/atom
Offset from the most stable computed form: 0 meV per atom
D(E_F): 12.27 states/eV/f.u.

Unit cell a=5.4152 b=8.1017 c=8.1017 alpha=83.59 beta=70.48 gamma=70.48
With the nearest neighbours (Å) after each atom.
Fractional positions:
Dy 0.8166 0.3686 0.0000  1 Pu 2.81
Dy 0.1852 0.0000 0.6314  1 Pu 2.81
Dy 0.8166 0.0000 0.3686  1 Pu 2.81
Dy 0.1852 0.6314 0.0000  1 Pu 2.81
Dy 0.5018 0.0000 0.0000  2 Pu 2.71
Ho 0.5008 0.3263 0.6737  7 Dy 3.41-3.69, 5 Ho 3.75-3.79
Ho 0.8271 0.6737 0.6737  7 Dy 3.41-3.69, 5 Ho 3.75-3.79
Ho 0.1744 0.3263 0.3263  7 Dy 3.41-3.69, 5 Ho 3.75-3.79
Ho 0.5008 0.6737 0.3263  7 Dy 3.41-3.69, 5 Ho 3.75-3.79
Pu 0.0020 0.0000 0.0000  6 Dy 2.71-2.81

Sr3AgB after structural relaxation. Source: Alexandria via LeMat-Bulk, functional PBE-GGA.

## Properties
Energy: -2.63 eV/atom
Offset from the most stable computed form: 0 meV per atom
D(E_F): 5.00 states/eV/f.u.

Unit cell a=5.6287 b=5.6287 c=5.6287 alpha=90.00 beta=90.00 gamma=90.00
With the nearest neighbours (Å) after each atom.
Fractional positions:
Sr 0.0000 0.5000 0.0000  2 B 2.81
Sr 0.0000 0.0000 0.5000  2 B 2.81
Sr 0.5000 0.0000 0.0000  2 B 2.81
B 0.0000 0.0000 0.0000  6 Sr 2.81
Ag 0.5000 0.5000 0.5000  12 Sr 3.98

La3SnN after structural relaxation. Source: Alexandria via LeMat-Bulk, functional PBE-GGA.

## Properties
Energy: -5.70 eV/atom
D(E_F): 2.18 states/eV/f.u.

Unit cell a=9.8892 b=9.8892 c=6.1448 alpha=90.00 beta=90.00 gamma=135.60
With the nearest neighbours (Å) after each atom.
Fractional positions:
N 0.3746 0.6254 0.2500  2 La 2.07
N 0.6254 0.3746 0.7500  2 La 2.07
Sn 0.1638 0.8362 0.2500  8 La 3.37-3.61
Sn 0.8362 0.1638 0.7500  8 La 3.37-3.61
La 0.5730 0.9238 0.2500  1 N 2.07
La 0.0762 0.4270 0.2500  1 N 2.07
La 0.9238 0.5730 0.7500  1 N 2.07
La 0.4270 0.0762 0.7500  1 N 2.07
La 0.0000 0.0000 0.0000  2 La 3.07, 2 Sn 3.37
La 0.0000 0.0000 0.5000  2 La 3.07, 2 Sn 3.37

Rh5C after structural relaxation. Source: Alexandria via LeMat-Bulk, functional PBE-GGA.

## Properties
Energy: -7.33 eV/atom
Offset from the most stable computed form: 95 meV per atom
D(E_F): 8.20 states/eV/f.u.

Unit cell a=6.7725 b=6.7725 c=2.7308 alpha=90.00 beta=90.00 gamma=141.34
With the nearest neighbours (Å) after each atom.
Fractional positions:
Rh 0.3806 0.6194 0.5000  2 C 2.05
Rh 0.1882 0.8118 0.0000  12 Rh 2.73-2.81
Rh 0.0000 0.0000 0.5000  4 C 2.62, 10 Rh 2.71-2.77
Rh 0.8118 0.1882 0.0000  12 Rh 2.73-2.81
Rh 0.6194 0.3806 0.5000  2 C 2.05
C 0.5000 0.5000 0.0000  4 Rh 2.05

Rb3ReBr6Cl2 after structural relaxation. Source: Alexandria via LeMat-Bulk, functional PBE-GGA.

## Properties
Energy: -3.43 eV/atom
D(E_F): 15.77 states/eV/f.u.

Unit cell a=6.1293 b=9.7214 c=9.8619 alpha=119.53 beta=94.96 gamma=90.00
With the nearest neighbours (Å) after each atom.
Fractional positions:
Rb 0.0000 0.5000 0.0000  2 Cl 3.14
Rb 0.5000 0.5000 0.5000  2 Cl 3.17
Rb 0.5000 0.0000 0.5000  2 Cl 3.17
Re 0.5000 0.0000 0.0000  6 Br 2.50
Br 0.7392 0.2483 0.1341  1 Re 2.50
Br 0.2608 0.7517 0.8659  1 Re 2.50
Br 0.7347 0.8891 0.7781  1 Re 2.50
Br 0.2653 0.1109 0.2219  1 Re 2.50
Br 0.2608 0.1142 0.8659  1 Re 2.50
Br 0.7392 0.8858 0.1341  1 Re 2.50
Cl 0.2246 0.6728 0.3456  3 Rb 3.14-3.17
Cl 0.7754 0.3272 0.6544  3 Rb 3.14-3.17

Ac6Pd2Pb3 after structural relaxation. Source: Alexandria via LeMat-Bulk, functional PBE-GGA.

## Properties
Energy: -4.59 eV/atom
D(E_F): 9.55 states/eV/f.u.

Unit cell a=5.5788 b=5.5788 c=14.6525 alpha=100.97 beta=100.97 gamma=90.00
With the nearest neighbours (Å) after each atom.
Fractional positions:
Ac 0.0791 0.5791 0.1583  2 Pd 2.91
Ac 0.5791 0.0791 0.1583  2 Pd 2.91
Ac 0.9209 0.4209 0.8417  2 Pd 2.91
Ac 0.4209 0.9209 0.8417  2 Pd 2.91
Ac 0.7110 0.7110 0.4219  1 Pd 2.90
Ac 0.2890 0.2890 0.5781  1 Pd 2.90
Pd 0.3919 0.3919 0.7839  5 Ac 2.90-2.91
Pd 0.6081 0.6081 0.2161  5 Ac 2.90-2.91
Pb 0.0000 0.0000 0.0000  8 Ac 3.57
Pb 0.8316 0.8316 0.6632  5 Ac 3.41-3.76
Pb 0.1684 0.1684 0.3368  5 Ac 3.41-3.76

Pm2TmGe3Pt4 after structural relaxation. Source: Alexandria via LeMat-Bulk, functional PBE-GGA.

## Properties
Energy: -6.18 eV/atom
D(E_F): 8.09 states/eV/f.u.

Unit cell a=4.2941 b=4.2941 c=11.1258 alpha=90.00 beta=90.00 gamma=90.00
With the nearest neighbours (Å) after each atom.
Fractional positions:
Pm 0.5000 0.0000 0.2227  4 Ge 3.23, 8 Pt 3.28-3.33
Pm 0.0000 0.5000 0.7773  4 Ge 3.23, 8 Pt 3.28-3.33
Tm 0.5000 0.5000 0.5000  4 Pt 2.75, 4 Ge 3.04
Ge 0.0000 0.0000 0.5000  4 Pt 2.75, 4 Tm 3.04
Ge 0.5000 0.0000 0.8754  5 Pt 2.46-2.56
Ge 0.0000 0.5000 0.1246  5 Pt 2.46-2.56
Pt 0.5000 0.5000 0.0000  4 Ge 2.56
Pt 0.0000 0.0000 0.0000  4 Ge 2.56
Pt 0.5000 0.0000 0.6541  3 Ge 2.46-2.75, 2 Tm 2.75
Pt 0.0000 0.5000 0.3459  3 Ge 2.46-2.75, 2 Tm 2.75

La3Lu after structural relaxation. Source: Alexandria via LeMat-Bulk, functional PBE-GGA.

## Properties
Energy: -4.82 eV/atom
D(E_F): 4.56 states/eV/f.u.

Unit cell a=5.1755 b=5.1755 c=5.1755 alpha=90.00 beta=90.00 gamma=90.00
With the nearest neighbours (Å) after each atom.
Fractional positions:
Lu 0.0000 0.0000 0.0000  12 La 3.66
La 0.0000 0.5000 0.5000  8 La 3.66, 4 Lu 3.66
La 0.5000 0.0000 0.5000  8 La 3.66, 4 Lu 3.66
La 0.5000 0.5000 0.0000  8 La 3.66, 4 Lu 3.66

CeNdGe2Pt5 after structural relaxation. Source: Alexandria via LeMat-Bulk, functional PBE-GGA.

## Properties
Energy: -6.44 eV/atom
D(E_F): 8.59 states/eV/f.u.

Unit cell a=4.3747 b=4.3747 c=8.9837 alpha=90.00 beta=90.00 gamma=90.00
With the nearest neighbours (Å) after each atom.
Fractional positions:
Ce 0.0000 0.0000 0.0000  8 Pt 3.27, 8 Ge 3.33
Nd 0.0000 0.0000 0.5000  12 Pt 3.01-3.09
Ge 0.5000 0.5000 0.1386  4 Pt 2.49, 1 Ge 2.49
Ge 0.5000 0.5000 0.8614  4 Pt 2.49, 1 Ge 2.49
Pt 0.0000 0.5000 0.2701  2 Ge 2.49
Pt 0.5000 0.0000 0.2701  2 Ge 2.49
Pt 0.0000 0.5000 0.7299  2 Ge 2.49
Pt 0.5000 0.0000 0.7299  2 Ge 2.49
Pt 0.5000 0.5000 0.5000  8 Pt 3.01, 4 Nd 3.09, 2 Ge 3.25

Cs2NaPO4 after structural relaxation. Source: Alexandria via LeMat-Bulk, functional PBE-GGA.

## Properties
Energy: -5.58 eV/atom
D(E_F): 0.00 states/eV/f.u.

Unit cell a=5.4373 b=6.5578 c=11.5496 alpha=84.40 beta=76.39 gamma=65.51
With the nearest neighbours (Å) after each atom.
Fractional positions:
Cs 0.1765 0.0000 0.6471  4 O 3.16-3.30
Cs 0.8235 0.0000 0.3529  4 O 3.16-3.30
Cs 0.5735 0.5000 0.8529  4 O 3.16-3.30
Cs 0.9265 0.5000 0.1471  4 O 3.16-3.30
Na 0.7500 0.5000 0.5000  4 O 2.22
Na 0.0000 0.0000 0.0000  4 O 2.22
P 0.2500 0.5000 0.5000  4 O 1.57
P 0.5000 0.0000 0.0000  4 O 1.57
O 0.3700 0.8458 0.0793  1 P 1.57
O 0.2951 0.1542 0.9207  1 P 1.57
O 0.7842 0.8458 0.9207  1 P 1.57
O 0.5507 0.1542 0.0793  1 P 1.57
O 0.3800 0.6542 0.4207  1 P 1.57
O 0.4549 0.3458 0.5793  1 P 1.57
O 0.9658 0.6542 0.5793  1 P 1.57
O 0.1993 0.3458 0.4207  1 P 1.57

PuCdTe2O8 after structural relaxation. Source: Alexandria via LeMat-Bulk, functional PBE-GGA.

## Properties
Energy: -6.65 eV/atom
D(E_F): 4.46 states/eV/f.u.

Unit cell a=6.0725 b=7.2521 c=7.4787 alpha=41.87 beta=66.05 gamma=65.25
With the nearest neighbours (Å) after each atom.
Fractional positions:
Pu 0.0000 0.0000 0.0000  2 O 1.79
Cd 0.5000 0.5000 0.5000  6 O 2.23-2.49
Te 0.3049 0.1728 0.2174  3 O 1.86-1.93
Te 0.6951 0.8272 0.7826  3 O 1.86-1.93
O 0.9138 0.3711 0.8012  1 Pu 1.79
O 0.6590 0.5238 0.1582  1 Te 1.86
O 0.0862 0.6289 0.1988  1 Pu 1.79
O 0.3410 0.4762 0.8418  1 Te 1.86
O 0.6244 0.9307 0.2683  1 Te 1.93
O 0.3756 0.0693 0.7317  1 Te 1.93
O 0.1766 0.9307 0.2683  1 Te 1.93
O 0.8234 0.0693 0.7317  1 Te 1.93

Repeat the ninth record exactly.
La3Lu after structural relaxation. Source: Alexandria via LeMat-Bulk, functional PBE-GGA.

## Properties
Energy: -4.82 eV/atom
D(E_F): 4.56 states/eV/f.u.

Unit cell a=5.1755 b=5.1755 c=5.1755 alpha=90.00 beta=90.00 gamma=90.00
With the nearest neighbours (Å) after each atom.
Fractional positions:
Lu 0.0000 0.0000 0.0000  12 La 3.66
La 0.0000 0.5000 0.5000  8 La 3.66, 4 Lu 3.66
La 0.5000 0.0000 0.5000  8 La 3.66, 4 Lu 3.66
La 0.5000 0.5000 0.0000  8 La 3.66, 4 Lu 3.66

- D(E_F) of number 6 (Rb3ReBr6Cl2)?
  15.77 states/eV/f.u.